1.
# Dy2HoIn3Pd2Au, relaxed, DFT GGA-PBE
# total magnetic moment = 0.01 μB per formula unit
# V = 402.6 Å³/cell
# energy = -4.74 eV/atom
data_Dy2HoIn3Pd2Au
_cell_length_a 3.817
_cell_length_b 13.510
_cell_length_c 7.806
_cell_angle_alpha 90.00
_cell_angle_beta 90.00
_cell_angle_gamma 90.00
_symmetry_space_group_name_H-M 'A m m 2'
_symmetry_Int_Tables_number 38
_symmetry_space_group_name_Hall 'A 2 -2'
loop_
_atom_site_label
_atom_site_type_symbol
_atom_site_fract_x
_atom_site_fract_y
_atom_site_fract_z
_atom_site_occupancy
Dy1 Dy 0.000 0.203 0.000 1
Ho1 Ho 0.000 0.000 0.609 1
In1 In 0.500 0.000 0.933 1
In2 In 0.500 0.135 0.338 1
Pd1 Pd 0.500 0.166 0.703 1
Au1 Au 0.000 0.000 0.203 1

2.
# RbTaCo, relaxed, DFT GGA-PBE
# total magnetic moment = 0.01 μB per formula unit
# energy above the most stable polymorph in this dataset = 0.0 kJ/mol of atoms
# V = 271.6 Å³/cell
# energy = -4.68 eV/atom
data_RbTaCo
_cell_length_a 6.476
_cell_length_b 6.476
_cell_length_c 6.476
_cell_angle_alpha 90.00
_cell_angle_beta 90.00
_cell_angle_gamma 90.00
_symmetry_space_group_name_H-M 'F -4 3 m'
_symmetry_Int_Tables_number 216
_symmetry_space_group_name_Hall 'F -4 2 3'
loop_
_atom_site_label
_atom_site_type_symbol
_atom_site_fract_x
_atom_site_fract_y
_atom_site_fract_z
_atom_site_occupancy
Rb1 Rb 0.000 0.000 0.000 1
Ta1 Ta 0.000 0.000 0.500 1
Co1 Co 0.250 0.250 0.250 1

3.
# LaErO4, relaxed, DFT GGA-PBE
# total magnetic moment = 0.00 μB per formula unit
# V = 162.4 Å³/cell
# energy = -7.81 eV/atom
data_LaErO4
_cell_length_a 6.768
_cell_length_b 3.827
_cell_length_c 6.322
_cell_angle_alpha 90.00
_cell_angle_beta 97.27
_cell_angle_gamma 90.00
_symmetry_space_group_name_H-M 'C 1 m 1'
_symmetry_Int_Tables_number 8
_symmetry_space_group_name_Hall 'C -2y'
loop_
_atom_site_label
_atom_site_type_symbol
_atom_site_fract_x
_atom_site_fract_y
_atom_site_fract_z
_atom_site_occupancy
La1 La 0.000 0.000 0.000 1
Er1 Er 0.116 0.500 0.538 1
O1 O 0.156 0.500 0.892 1
O2 O 0.216 0.000 0.351 1
O3 O 0.383 0.000 0.219 1
O4 O 0.452 0.500 0.608 1

4.
# HgBiClO2, relaxed, DFT GGA-PBE
# V = 376.3 Å³/cell
# energy = -4.00 eV/atom
data_HgBiClO2
_cell_length_a 5.726
_cell_length_b 11.823
_cell_length_c 5.558
_cell_angle_alpha 90.00
_cell_angle_beta 90.00
_cell_angle_gamma 90.00
_symmetry_space_group_name_H-M 'C m c m'
_symmetry_Int_Tables_number 63
_symmetry_space_group_name_Hall '-C 2c 2'
loop_
_atom_site_label
_atom_site_type_symbol
_atom_site_fract_x
_atom_site_fract_y
_atom_site_fract_z
_atom_site_occupancy
Hg1 Hg 0.000 0.090 0.250 1
Bi1 Bi 0.000 0.402 0.250 1
Cl1 Cl 0.000 0.242 0.750 1
O1 O 0.230 0.500 0.000 1

5.
# PrSmAl4Ni2, relaxed, DFT GGA-PBE
# total magnetic moment = 0.01 μB per formula unit
# V = 302.8 Å³/cell
# energy = -5.04 eV/atom
data_PrSmAl4Ni2
_cell_length_a 6.910
_cell_length_b 4.058
_cell_length_c 10.798
_cell_angle_alpha 90.00
_cell_angle_beta 90.00
_cell_angle_gamma 90.00
_symmetry_space_group_name_H-M 'A m m 2'
_symmetry_Int_Tables_number 38
_symmetry_space_group_name_Hall 'A 2 -2'
loop_
_atom_site_label
_atom_site_type_symbol
_atom_site_fract_x
_atom_site_fract_y
_atom_site_fract_z
_atom_site_occupancy
Pr1 Pr 0.000 0.000 0.000 1
Sm1 Sm 0.500 0.000 0.110 1
Al1 Al 0.195 0.000 0.722 1
Al2 Al 0.308 0.000 0.387 1
Ni1 Ni 0.000 0.000 0.273 1
Ni2 Ni 0.500 0.000 0.836 1

6.
# Ta2Ge3W4N3, relaxed, DFT GGA-PBE
# total magnetic moment = 0.01 μB per formula unit
# V = 647.9 Å³/cell
# energy = -9.55 eV/atom
data_Ta2Ge3W4N3
_cell_length_a 9.313
_cell_length_b 5.492
_cell_length_c 13.102
_cell_angle_alpha 90.00
_cell_angle_beta 104.78
_cell_angle_gamma 90.00
_symmetry_space_group_name_H-M 'C 1 2/c 1'
_symmetry_Int_Tables_number 15
_symmetry_space_group_name_Hall '-C 2yc'
loop_
_atom_site_label
_atom_site_type_symbol
_atom_site_fract_x
_atom_site_fract_y
_atom_site_fract_z
_atom_site_occupancy
Ta1 Ta 0.060 0.085 0.394 1
Ge1 Ge 0.000 0.442 0.250 1
Ge2 Ge 0.181 0.105 0.748 1
W1 W 0.116 0.442 0.589 1
W2 W 0.209 0.405 0.913 1
N1 N 0.071 0.222 0.001 1
N2 N 0.250 0.250 0.500 1

7.
# LaCuTe2PbS, relaxed, DFT GGA-PBE
# total magnetic moment = 0.00 μB per formula unit
# V = 673.1 Å³/cell
# energy = -4.66 eV/atom
data_LaCuTe2PbS
_cell_length_a 4.273
_cell_length_b 14.507
_cell_length_c 10.860
_cell_angle_alpha 90.00
_cell_angle_beta 90.00
_cell_angle_gamma 90.00
_symmetry_space_group_name_H-M 'C m c m'
_symmetry_Int_Tables_number 63
_symmetry_space_group_name_Hall '-C 2c 2'
loop_
_atom_site_label
_atom_site_type_symbol
_atom_site_fract_x
_atom_site_fract_y
_atom_site_fract_z
_atom_site_occupancy
La1 La 0.000 0.000 0.000 1
Cu1 Cu 0.000 0.475 0.250 1
Te1 Te 0.000 0.347 0.074 1
Pb1 Pb 0.000 0.271 0.750 1
S1 S 0.000 0.062 0.250 1

8.
# AgSn2Pd, relaxed, DFT GGA-PBE
# V = 333.5 Å³/cell
# energy = -3.96 eV/atom
data_AgSn2Pd
_cell_length_a 6.935
_cell_length_b 6.935
_cell_length_c 6.935
_cell_angle_alpha 90.00
_cell_angle_beta 90.00
_cell_angle_gamma 90.00
_symmetry_space_group_name_H-M 'F -4 3 m'
_symmetry_Int_Tables_number 216
_symmetry_space_group_name_Hall 'F -4 2 3'
loop_
_atom_site_label
_atom_site_type_symbol
_atom_site_fract_x
_atom_site_fract_y
_atom_site_fract_z
_atom_site_occupancy
Ag1 Ag 0.000 0.000 0.000 1
Sn1 Sn 0.000 0.000 0.500 1
Sn2 Sn 0.250 0.250 0.250 1
Pd1 Pd 0.250 0.250 0.750 1